Record 1
# Nd5DyS6

A relaxed structure of Nd5DyS6 (PBE, the Alexandria database).

Output
- Density: 6.38 g/cm³
- Space group: C2/m, No. 12
- Formation energy from raw total energies: -24.26 eV per formula unit
- Raw total energy: -6.456 eV/atom
- Density of states at the Fermi level: 0.3795 states/eV per atom

Lattice parameters (Å, degrees): 7.012 7.012 6.996 99.67 99.67 120.11
Sites, in units of the cell vectors:
Nd  0.000  0.000  0.000
Nd  0.167  0.833  0.500
Nd  0.329  0.671  0.000
Nd  0.671  0.329  0.000
Nd  0.833  0.167  0.500
Dy  0.500  0.500  0.500
S  0.095  0.419  0.256
S  0.258  0.258  0.747
S  0.419  0.095  0.256
S  0.581  0.905  0.744
S  0.742  0.742  0.253
S  0.905  0.581  0.744

---

Record 2
# Nd3Dy2S8

A relaxed structure of Nd3Dy2S8 (PBE, the Alexandria database).

Output
- Density: 4.63 g/cm³
- Space group: C2/m, No. 12
- Formation energy from raw total energies: -23.55 eV per formula unit
- Raw total energy: -6.160 eV/atom
- Density of states at the Fermi level: 0.6671 states/eV per atom

Lattice parameters (Å, degrees): 8.067 8.067 6.877 107.92 107.92 60.47
Sites, in units of the cell vectors:
Nd  0.000  0.000  0.000
Nd  0.264  0.736  0.500
Nd  0.736  0.264  0.500
Dy  0.263  0.263  0.846
Dy  0.737  0.737  0.154
S  0.104  0.638  0.082
S  0.121  0.121  0.439
S  0.362  0.896  0.918
S  0.383  0.383  0.612
S  0.617  0.617  0.388
S  0.638  0.104  0.082
S  0.879  0.879  0.561
S  0.896  0.362  0.918